(1)
YZrW2: optimized geometry, GGA-PBEsol.

* crystal system: orthorhombic
* DOS(E_F): 1.2943 states/eV/atom
* energy of formation from the pure elements: 2.4 eV per formula unit

Lattice parameters (Å, degrees): 5.6411 9.7298 2.7878 90.00 90.00 90.00
Space group Cmmm (No. 65)
Inequivalent atoms, fractional coordinates:
Y 0.0000 0.0000 0.0000
Zr 0.0000 0.5000 0.0000
W 0.2500 0.2500 0.5000

=====

(2)
ErCu2O4: optimized geometry, GGA-PBEsol.

* crystal system: tetragonal
* formation energy without anion corrections: -1733 meV per atom
* DOS(E_F): 0.3989 states/eV/atom

Lattice parameters (Å, degrees): 5.5600 5.5600 9.4862 90.00 90.00 90.00
Space group I4_1/a (No. 88, origin choice 2)
Inequivalent atoms, fractional coordinates:
Er 0.0000 0.2500 0.1250
Cu 0.0000 0.0000 0.5000
O 0.1470 0.4549 0.3222

=====

(3)
TlSnOs2Pt: optimized geometry, GGA-PBEsol.

* crystal system: tetragonal
* DOS(E_F): 1.3066 states/eV/atom
* energy of formation from the pure elements: 9.0 eV per formula unit

Lattice parameters (Å, degrees): 4.8113 4.8113 5.0005 90.00 90.00 90.00
Space group P4/mmm (No. 123)
Inequivalent atoms, fractional coordinates:
Tl 0.0000 0.0000 0.0000
Sn 0.5000 0.5000 0.0000
Os 0.0000 0.5000 0.5000
Pt 0.5000 0.5000 0.5000

=====

It is found that the volume values, taken in the order of the records, are 19.13 10.47 23.15 Å³ per atom.